(1)
The following is a DFT calculation (PBE) of a geometry-optimized Ca2CuAg structure.

a b c (Å): 7.247 7.308 3.678
angles (deg): 90.00 90.29 90.00
Positions (direct):
Ca (0.250, 0.250, 0.000)
Ca (0.250, 0.750, 0.000)
Ca (0.750, 0.250, 0.000)
Ca (0.750, 0.750, 0.000)
Cu (0.000, 0.000, 0.500)
Cu (0.500, 0.500, 0.500)
Ag (0.000, 0.500, 0.500)
Ag (0.500, 0.000, 0.500)

The calculation puts the formation energy from the elements at -0.175 eV per atom. The volume is 97 Å³/f.u. The crystal system is monoclinic.

***

(2)
The following is a DFT calculation (PBE) of a geometry-optimized Cs5Tl6Cu structure.

a b c (Å): 9.293 9.293 8.974
angles (deg): 100.52 100.52 122.05
Positions (direct):
Cs (0.000, 0.000, 0.000)
Cs (0.155, 0.845, 0.500)
Cs (0.300, 0.700, 0.000)
Cs (0.700, 0.300, 0.000)
Cs (0.845, 0.155, 0.500)
Tl (0.211, 0.462, 0.322)
Tl (0.368, 0.368, 0.724)
Tl (0.462, 0.211, 0.322)
Tl (0.538, 0.789, 0.678)
Tl (0.632, 0.632, 0.276)
Tl (0.789, 0.538, 0.678)
Cu (0.500, 0.500, 0.500)

The calculation puts the formation energy from the elements at -0.001 eV per atom. The volume is 608 Å³/f.u. The crystal system is monoclinic.